A plane-wave DFT calculation with PBE-GGA was carried out for crystalline CrAu2Cl at its relaxed geometry.

a b c (Å): 3.814 3.814 5.436
angles (deg): 90.00 90.00 90.00
Fractional positions:
Cr1 0.000 0.000 0.000
Au1 0.000 0.500 0.500
Au2 0.500 0.000 0.500
Cl1 0.500 0.500 0.000

Values from the calculation:
Space group: P4/mmm
ΔE_f (raw), eV/atom: 0.132
DFT total energy, eV per atom: -4.374
ΔE to the lowest computed polymorph, eV per atom: 0.193